{"formula": "NiAu", "functional": "meta-GGA SCAN", "state": "single point on PBEsol structure", "lattice": [[2.7298, 0.0000, 0.0000], [-1.3649, 2.3641, 0.0000], [0.0000, 0.0000, 8.7253]], "species": ["Au", "Au", "Ni", "Ni"], "fractional_positions": [[0.6667, 0.3333, 0.1474], [0.3333, 0.6667, 0.8526], [0.3333, 0.6667, 0.3973], [0.6667, 0.3333, 0.6027]], "volume_a3_per_fu": 28.2, "e_tot_ev_per_atom": -42.498, "magmom_total_mub_per_cell": 1.6, "ef_mev_per_atom": 167}